Computed, not measured: a geometry-optimized Pm4Dy2Ho3 structure at the GGA-PBE level of DFT.

## Properties
The magnetic moment is 0.00 μB per cell. The value obtained for the uncorrected energy is -4.573 eV/atom. As for the space-group type: C2/m, No. 12.

Lattice parameters (Å, degrees): 3.5373 8.6338 10.0233 98.62 100.16 90.00
Last column: nearest neighbours and their distance in Å.
Fractional coordinates of all 9 atoms:
Pm  0.7200  0.6525  0.4399  3 Ho 3.43-3.59, 5 Pm 3.44-3.54, 3 Dy 3.63-3.68
Pm  0.2800  0.3475  0.5601  3 Ho 3.43-3.59, 5 Pm 3.44-3.54, 3 Dy 3.63-3.68
Pm  0.5483  0.6864  0.0966  4 Pm 3.44-3.54, 6 Ho 3.49-3.68, 1 Dy 3.59
Pm  0.4517  0.3136  0.9034  4 Pm 3.44-3.54, 6 Ho 3.49-3.68, 1 Dy 3.59
Dy  0.3324  0.9559  0.6649  4 Dy 3.54-3.88, 4 Ho 3.58-3.72, 4 Pm 3.59-3.68
Dy  0.6676  0.0441  0.3351  4 Dy 3.54-3.88, 4 Ho 3.58-3.72, 4 Pm 3.59-3.68
Ho  0.8932  0.6433  0.7865  7 Pm 3.43-3.68, 3 Ho 3.46-3.54, 2 Dy 3.58
Ho  0.1068  0.3567  0.2135  7 Pm 3.43-3.68, 3 Ho 3.46-3.54, 2 Dy 3.58
Ho  0.0000  0.0000  0.0000  4 Ho 3.46-3.54, 4 Pm 3.49, 4 Dy 3.72


Computed, not measured: a geometry-optimized PaH3F9 structure at the GGA-PBE level of DFT.

## Properties
The magnetic moment is 2.20 μB per cell. The value obtained for the uncorrected energy is -5.222 eV/atom. As for the space-group type: Cc, No. 9.

Lattice parameters (Å, degrees): 8.2937 7.8007 8.2638 82.63 59.88 57.89
Last column: nearest neighbours and their distance in Å.
Fractional coordinates of all 26 atoms:
F  0.0285  0.4436  0.3959  1 H 1.05
F  0.6889  0.8537  0.9906  1 Pa 2.04
F  0.1306  0.5045  0.1322  1 F 2.00
F  0.1124  0.6616  0.8665  1 H 1.30
F  0.4978  0.6377  0.2004  1 H 1.04
F  0.8446  0.4628  0.8333  1 H 1.35
F  0.2243  0.2729  0.8250  2 Pa 2.20-2.44
F  0.6011  0.8329  0.6840  1 Pa 2.03
F  0.5870  0.4587  0.7865  1 H 1.02
F  0.6778  0.7729  0.3250  2 Pa 2.20-2.44
F  0.1678  0.9587  0.2865  1 H 1.02
F  0.4668  0.3537  0.4906  1 Pa 2.04
F  0.3596  0.1616  0.3665  1 H 1.30
F  0.2327  0.0045  0.6322  1 F 2.00
F  0.6641  0.1377  0.7004  1 H 1.04
F  0.8593  0.9628  0.3333  1 H 1.35
F  0.1320  0.9436  0.8959  1 H 1.05
F  0.8820  0.3329  0.1840  1 Pa 2.03
H  0.6994  0.4605  0.8037  1 F 1.02
H  0.3500  0.7790  0.2384  1 F 1.04
H  0.6326  0.2790  0.7384  1 F 1.04
H  0.1812  0.3164  0.3733  1 F 1.05
H  0.1291  0.8164  0.8733  1 F 1.05
H  0.0365  0.9605  0.3037  1 F 1.02
Pa  0.5132  0.0732  0.5480  5 F 2.03-2.25
Pa  0.8655  0.5732  0.0480  5 F 2.03-2.25


Computed, not measured: a geometry-optimized BiSb2F8 structure at the GGA-PBE level of DFT.

## Properties
The magnetic moment is 0.00 μB per cell. The value obtained for the raw formation energy is -2.212 eV per atom. The value obtained for the uncorrected energy is -4.676 eV/atom. As for the space-group type: P-1, No. 2.

Lattice parameters (Å, degrees): 4.2214 7.6069 7.6759 121.28 67.37 96.76
Last column: nearest neighbours and their distance in Å.
Fractional coordinates of all 11 atoms:
F  0.7263  0.9056  0.2612  1 Sb 2.15, 1 Bi 2.32
F  0.1857  0.6025  0.1088  1 Sb 2.00
F  0.8143  0.3975  0.8912  1 Sb 2.00
F  0.1700  0.6488  0.7420  1 Sb 2.20, 1 Bi 2.33
F  0.8608  0.7869  0.5446  1 Sb 1.96
F  0.8300  0.3512  0.2580  1 Sb 2.20, 1 Bi 2.33
F  0.1392  0.2131  0.4553  1 Sb 1.96
F  0.2737  0.0944  0.7388  1 Sb 2.15, 1 Bi 2.32
Sb  0.3126  0.3532  0.6939  3 F 1.96-2.15
Sb  0.6874  0.6468  0.3061  3 F 1.96-2.15
Bi  0.0000  0.0000  0.0000  4 F 2.32-2.33


Computed, not measured: a geometry-optimized Co2IrPb structure at the GGA-PBE level of DFT.

## Properties
The magnetic moment is 4.01 μB per cell. The value obtained for the uncorrected energy is -6.244 eV/atom. As for the space-group type: P4mm, No. 99.

Lattice parameters (Å, degrees): 3.0613 3.0613 6.7032 90.00 90.00 90.00
Last column: nearest neighbours and their distance in Å.
Fractional coordinates of all 4 atoms:
Ir  0.0000  0.0000  0.4504  5 Co 2.61-2.62
Pb  0.5000  0.5000  0.7577  5 Co 2.96-3.18, 4 Ir 2.99, 4 Pb 3.06
Co  0.0000  0.0000  0.0593  4 Co 2.46, 1 Ir 2.62
Co  0.5000  0.5000  0.2326  4 Co 2.46, 4 Ir 2.61


Computed, not measured: a geometry-optimized MnZn2Cr structure at the GGA-PBE level of DFT.

## Properties
The magnetic moment is 1.88 μB per cell. The value obtained for the uncorrected energy is -5.129 eV/atom. As for the space-group type: Cmmm, No. 65.

Lattice parameters (Å, degrees): 4.7625 4.7625 2.5387 90.00 90.00 116.00
Last column: nearest neighbours and their distance in Å.
Fractional coordinates of all 4 atoms:
Mn  0.0000  0.5000  0.5000  2 Cr 2.52, 2 Mn 2.54, 8 Zn 2.70
Zn  0.5000  0.5000  0.0000  4 Zn 2.52-2.54, 4 Cr 2.70, 4 Mn 2.70
Zn  0.0000  0.0000  0.0000  4 Zn 2.52-2.54, 4 Mn 2.70, 4 Cr 2.70
Cr  0.5000  0.0000  0.5000  2 Mn 2.52, 2 Cr 2.54, 8 Zn 2.70


Computed, not measured: a geometry-optimized SnBi2Sb structure at the GGA-PBE level of DFT.

## Properties
The magnetic moment is 0.00 μB per cell. The value obtained for the raw formation energy is 0.072 eV per atom. The value obtained for the uncorrected energy is -3.900 eV/atom. As for the space-group type: P4/mmm, No. 123.

Lattice parameters (Å, degrees): 4.5477 4.5477 6.2880 90.00 90.00 90.00
Last column: nearest neighbours and their distance in Å.
Fractional coordinates of all 4 atoms:
Sb  0.5000  0.5000  0.5000  6 Bi 3.14-3.22
Sn  0.0000  0.0000  0.0000  6 Bi 3.14-3.22
Bi  0.5000  0.5000  0.0000  2 Sb 3.14, 4 Sn 3.22
Bi  0.0000  0.0000  0.5000  2 Sn 3.14, 4 Sb 3.22


Computed, not measured: a geometry-optimized Y3SeS2 structure at the GGA-PBE level of DFT.

## Properties
The magnetic moment is 0.00 μB per cell. The value obtained for the raw formation energy is -1.581 eV per atom. The value obtained for the uncorrected energy is -6.770 eV/atom. As for the space-group type: Cmcm, No. 63.

Lattice parameters (Å, degrees): 4.0119 6.9965 10.8242 90.00 90.00 106.66
Last column: nearest neighbours and their distance in Å.
Fractional coordinates of all 12 atoms:
Se  0.7532  0.5064  0.7500  6 Y 2.90-3.21
Se  0.2468  0.4936  0.2500  6 Y 2.90-3.21
S  0.5274  0.0547  0.2500  4 Y 2.61-2.62
S  0.0000  0.0000  0.0000  6 Y 2.85-3.00
S  0.0000  0.0000  0.5000  6 Y 2.85-3.00
S  0.4726  0.9453  0.7500  4 Y 2.61-2.62
Y  0.9025  0.8051  0.2500  2 S 2.61, 2 Se 2.90
Y  0.6440  0.2880  0.4438  3 S 2.62-2.85
Y  0.3560  0.7120  0.9438  3 S 2.62-2.85
Y  0.6440  0.2880  0.0562  3 S 2.62-2.85
Y  0.3560  0.7120  0.5562  3 S 2.62-2.85
Y  0.0975  0.1949  0.7500  2 S 2.61, 2 Se 2.90


Computed, not measured: a geometry-optimized Sm5In4Pd structure at the GGA-PBE level of DFT.

## Properties
The magnetic moment is 0.00 μB per cell. The value obtained for the uncorrected energy is -4.531 eV/atom. As for the space-group type: P4/mmm, No. 123.

Lattice parameters (Å, degrees): 3.6084 3.6084 20.7356 90.00 90.00 90.00
Last column: nearest neighbours and their distance in Å.
Fractional coordinates of all 10 atoms:
Sm  0.5000  0.5000  0.9152  4 Pd 3.10, 4 In 3.34
Sm  0.5000  0.5000  0.2925  8 In 3.33-3.34, 4 Sm 3.61
Sm  0.5000  0.5000  0.7075  8 In 3.33-3.34, 4 Sm 3.61
Sm  0.5000  0.5000  0.0848  4 Pd 3.10, 4 In 3.34
Sm  0.5000  0.5000  0.5000  8 In 3.34, 4 Sm 3.61
Pd  0.0000  0.0000  0.0000  8 Sm 3.10
In  0.0000  0.0000  0.6036  8 Sm 3.34, 4 In 3.61
In  0.0000  0.0000  0.8109  8 Sm 3.33-3.34, 4 In 3.61
In  0.0000  0.0000  0.1891  8 Sm 3.33-3.34, 4 In 3.61
In  0.0000  0.0000  0.3964  8 Sm 3.34, 4 In 3.61


Computed, not measured: a geometry-optimized Pa2FePt structure at the GGA-PBE level of DFT.

## Properties
The magnetic moment is 0.00 μB per cell. The value obtained for the uncorrected energy is -8.673 eV/atom. As for the space-group type: P4/mmm, No. 123.

Lattice parameters (Å, degrees): 4.1542 4.2945 4.2945 90.00 90.00 90.00
Last column: nearest neighbours and their distance in Å.
Fractional coordinates of all 4 atoms:
Pt  0.5000  0.5000  0.5000  8 Pa 2.99, 4 Fe 3.04
Pa  0.0000  0.5000  0.0000  4 Fe 2.99, 4 Pt 2.99, 4 Pa 3.04
Pa  0.0000  0.0000  0.5000  4 Fe 2.99, 4 Pt 2.99, 4 Pa 3.04
Fe  0.5000  0.0000  0.0000  8 Pa 2.99, 4 Pt 3.04


Computed, not measured: a geometry-optimized Zr8Bi2Sb structure at the GGA-PBE level of DFT.

## Properties
The magnetic moment is 0.00 μB per cell. The value obtained for the raw formation energy is -0.119 eV per atom. The value obtained for the uncorrected energy is -7.416 eV/atom. As for the space-group type: C2/m, No. 12.

Lattice parameters (Å, degrees): 5.5344 7.8195 7.8195 120.35 101.53 101.53
Last column: nearest neighbours and their distance in Å.
Fractional coordinates of all 11 atoms:
Sb  0.5000  0.0000  0.0000  4 Zr 2.89-3.00
Bi  0.0000  0.6954  0.3046  8 Zr 2.99-3.06
Bi  0.0000  0.3046  0.6954  8 Zr 2.99-3.06
Zr  0.3031  0.5949  0.5949  1 Sb 2.89, 2 Bi 3.06, 6 Zr 3.07-3.19
Zr  0.8458  0.9064  0.6902  4 Zr 2.91-3.19, 2 Bi 3.02-3.04
Zr  0.5000  0.7787  0.2213  2 Bi 2.99, 1 Sb 3.00, 4 Zr 3.29-3.30
Zr  0.5000  0.2213  0.7787  2 Bi 2.99, 1 Sb 3.00, 4 Zr 3.29-3.30
Zr  0.1542  0.0936  0.3098  4 Zr 2.91-3.19, 2 Bi 3.02-3.04
Zr  0.6969  0.4051  0.4051  1 Sb 2.89, 2 Bi 3.06, 6 Zr 3.07-3.19
Zr  0.1542  0.3098  0.0936  4 Zr 2.91-3.19, 2 Bi 3.02-3.04
Zr  0.8458  0.6902  0.9064  4 Zr 2.91-3.19, 2 Bi 3.02-3.04


Computed, not measured: a geometry-optimized VTe2Mo structure at the GGA-PBE level of DFT.

## Properties
The magnetic moment is 8.57 μB per cell. The value obtained for the raw formation energy is 0.530 eV per atom. The value obtained for the uncorrected energy is -6.028 eV/atom. As for the space-group type: I-42d, No. 122.

Lattice parameters (Å, degrees): 6.2281 6.2281 7.4725 65.37 65.37 90.00
Last column: nearest neighbours and their distance in Å.
Fractional coordinates of all 8 atoms:
Mo  0.0000  0.0000  0.0000  4 Te 2.67
Mo  0.7500  0.2500  0.5000  4 Te 2.67
Te  0.8750  0.8762  0.7500  2 Mo 2.67, 2 V 2.67
Te  0.3750  0.3738  0.7500  2 Mo 2.67, 2 V 2.67
Te  0.6262  0.1250  0.2500  2 Mo 2.67, 2 V 2.67
Te  0.1238  0.6250  0.2500  2 Mo 2.67, 2 V 2.67
V  0.5000  0.5000  0.0000  4 Te 2.67
V  0.2500  0.7500  0.5000  4 Te 2.67


Computed, not measured: a geometry-optimized Th2Mg3In2 structure at the GGA-PBE level of DFT.

## Properties
The magnetic moment is 0.00 μB per cell. The value obtained for the uncorrected energy is -3.579 eV/atom. As for the space-group type: Cmmm, No. 65.

Lattice parameters (Å, degrees): 4.2617 4.4027 11.0323 101.51 90.00 90.00
Last column: nearest neighbours and their distance in Å.
Fractional coordinates of all 7 atoms:
Mg  0.5000  0.4288  0.8576  1 In 2.97, 1 Mg 3.08
Mg  0.0000  0.0000  0.0000  8 Mg 3.43, 2 Th 3.56
Mg  0.5000  0.5712  0.1424  1 In 2.97, 1 Mg 3.08
Th  0.0000  0.8354  0.6708  6 In 3.21-3.47, 1 Mg 3.56
Th  0.0000  0.1646  0.3292  6 In 3.21-3.47, 1 Mg 3.56
In  0.5000  0.2912  0.5825  2 In 2.83, 1 Mg 2.97
In  0.5000  0.7088  0.4175  2 In 2.83, 1 Mg 2.97


no.,theoretical density (Mg/m³)
1,7.81
2,3.50
3,5.19
4,13.67
5,7.63
6,8.41
7,4.68
8,8.10
9,15.45
10,7.88
11,5.70
12,6.28